--- one ---
Here is a relaxed Al3FeSi2 crystal from the Alexandria database. Energies are from PBE-GGA.

It has space group Pbcn (No. 60), with a = 6.059 Å, b = 6.061 Å, c = 9.480 Å, α = 90.00°, β = 90.00° and γ = 90.00°. The asymmetric unit holds Al at (0.000, 0.000, 0.000), Al at (0.138, 0.369, 0.135), Fe at (0.000, 0.013, 0.250) and Si at (0.164, 0.327, 0.845).

As for the total magnetization: 0.00 μB/cell.

---

--- two ---
Here is a relaxed Al3FeSi2 crystal from the Alexandria database. Energies are from PBE-GGA.

It has space group I4cm (No. 108), with a = 6.056 Å, b = 6.056 Å, c = 9.545 Å, α = 90.00°, β = 90.00° and γ = 90.00°. The asymmetric unit holds Al at (0.000, 0.000, 0.000), Al at (0.161, 0.339, 0.147), Fe at (0.000, 0.000, 0.256) and Si at (0.147, 0.353, 0.856).

As for the total magnetization: 0.00 μB/cell.

---

Among the structures shown above, one is the most stable, with the second-best lying 2.5 kJ/mol of atoms higher.